Pm4GeBiSe2 (PBE, relaxed); SG = No. 10; uncorrected formation energy = -11.1 eV per formula unit; total DFT energy (no corrections) = -5.698 eV per atom; density of states at the Fermi level = 1.7 states/eV/cell
1.0
-3.597 -0.130 2.403
4.116 -1.134 6.101
1.820 6.652 3.084
Se Pm Ge Bi
2 4 1 1
Direct
0.500 0.000 0.500 Se
0.000 0.000 0.000 Se
0.000 0.246 0.266 Pm
0.500 0.254 0.736 Pm
0.000 0.754 0.734 Pm
0.500 0.746 0.264 Pm
0.000 0.500 0.500 Ge
0.500 0.500 0.000 Bi


Pm4GeBiTe2 (PBE, relaxed); SG = No. 10; uncorrected formation energy = -9.8 eV per formula unit; total DFT energy (no corrections) = -5.442 eV per atom; density of states at the Fermi level = 1.7 states/eV/cell
1.0
-0.465 4.391 -0.491
-7.518 -0.966 -1.521
-4.008 0.316 6.624
Pm Bi Te Ge
4 1 2 1
Direct
0.500 0.729 0.270 Pm
0.500 0.271 0.730 Pm
0.000 0.263 0.261 Pm
0.000 0.737 0.739 Pm
0.500 0.500 0.000 Bi
0.000 0.000 0.000 Te
0.500 0.000 0.500 Te
0.000 0.500 0.500 Ge


Pr2GeBi (PBE, relaxed); SG = No. 160; total DFT energy (no corrections) = -5.132 eV per atom; density of states at the Fermi level = 3.3 states/eV/cell; distance to the lowest polymorph of the same formula = 4.62 kcal/mol of atoms; calculated formation energy = -618 meV/atom
1.0
4.314 0.000 0.000
2.157 3.736 0.000
2.157 1.245 8.105
Bi Ge Pr
1 1 2
Direct
0.668 0.668 0.995 Bi
0.498 0.498 0.505 Ge
0.246 0.246 0.261 Pr
0.087 0.087 0.739 Pr


Pr5GeBi4 (PBE, relaxed); SG = No. 87; total DFT energy (no corrections) = -5.291 eV per atom; density of states at the Fermi level = 3.5 states/eV/cell; calculated formation energy = -887 meV/atom
1.0
6.488 0.000 0.000
3.244 7.237 0.000
3.244 0.000 7.237
Bi Pr Ge
4 5 1
Direct
0.596 0.603 0.208 Bi
0.198 0.208 0.397 Bi
0.804 0.792 0.603 Bi
0.406 0.397 0.792 Bi
0.714 0.189 0.384 Pr
0.501 0.000 0.000 Pr
0.903 0.384 0.811 Pr
0.288 0.811 0.616 Pr
0.099 0.616 0.189 Pr
0.001 0.000 0.000 Ge


Pr2GeBi (PBE, relaxed); SG = No. 12; total DFT energy (no corrections) = -5.271 eV per atom; density of states at the Fermi level = 11.1 states/eV/cell; distance to the lowest polymorph of the same formula = 1.43 kcal/mol of atoms; calculated formation energy = -757 meV/atom
1.0
-5.803 2.424 1.012
-1.623 -7.964 9.773
3.308 8.322 -0.967
Bi Pr Ge
4 8 4
Direct
0.750 0.875 0.750 Bi
0.250 0.125 0.250 Bi
0.750 0.375 0.750 Bi
0.250 0.625 0.250 Bi
0.750 0.625 0.250 Pr
0.250 0.875 0.750 Pr
0.750 0.625 0.750 Pr
0.250 0.375 0.750 Pr
0.750 0.125 0.750 Pr
0.250 0.375 0.250 Pr
0.250 0.875 0.250 Pr
0.750 0.125 0.250 Pr
0.250 0.125 0.750 Ge
0.750 0.875 0.250 Ge
0.250 0.625 0.750 Ge
0.750 0.375 0.250 Ge


Pr4GeBi (PBE, relaxed); SG = No. 15; total DFT energy (no corrections) = -5.184 eV per atom; density of states at the Fermi level = 14.1 states/eV/cell; calculated formation energy = -581 meV/atom
1.0
6.332 -0.454 0.000
-2.144 8.506 0.000
-2.094 -4.026 7.158
Bi Pr Ge
2 8 2
Direct
0.629 0.379 0.759 Bi
0.371 0.621 0.241 Bi
0.222 0.287 0.364 Pr
0.711 0.372 0.159 Pr
0.051 0.212 0.841 Pr
0.642 0.077 0.364 Pr
0.778 0.713 0.636 Pr
0.289 0.628 0.841 Pr
0.949 0.788 0.159 Pr
0.358 0.923 0.636 Pr
0.749 0.999 0.998 Ge
0.251 0.001 0.002 Ge


PrGe2Bi (PBE, relaxed); SG = No. 166; total DFT energy (no corrections) = -4.211 eV per atom; density of states at the Fermi level = 2.0 states/eV/cell; distance to the lowest polymorph of the same formula = 14.40 kcal/mol of atoms; calculated formation energy = 263 meV/atom
1.0
-4.066 -1.736 2.347
0.190 -1.049 4.891
-3.254 5.687 3.907
Pr Ge Bi
1 2 1
Direct
0.500 0.500 0.500 Pr
0.126 0.126 0.623 Ge
0.874 0.874 0.377 Ge
0.000 0.000 0.000 Bi


Pr2GeBi (PBE, relaxed); SG = No. 63; total DFT energy (no corrections) = -5.333 eV per atom; density of states at the Fermi level = 4.0 states/eV/cell; distance to the lowest polymorph of the same formula = 0.00 kcal/mol of atoms; calculated formation energy = -818 meV/atom
1.0
-2.217 -1.938 3.226
0.864 -4.134 -1.889
9.828 1.221 7.488
Bi Pr Ge
2 4 2
Direct
0.750 0.810 0.620 Bi
0.250 0.190 0.380 Bi
0.250 0.324 0.647 Pr
0.750 0.676 0.353 Pr
0.250 0.060 0.120 Pr
0.750 0.940 0.880 Pr
0.750 0.540 0.080 Ge
0.250 0.460 0.920 Ge


Pr10Ge3Bi3 (PBE, relaxed); SG = No. 189; total DFT energy (no corrections) = -5.291 eV per atom; density of states at the Fermi level = 16.5 states/eV/cell; calculated formation energy = -710 meV/atom
1.0
6.679 0.000 0.000
0.000 8.053 -4.650
0.000 0.000 9.299
Ge Pr Bi
3 10 3
Direct
0.500 0.385 0.000 Ge
0.500 0.615 0.615 Ge
0.500 0.000 0.385 Ge
0.261 0.667 0.333 Pr
0.000 0.755 0.755 Pr
0.261 0.333 0.667 Pr
0.500 0.000 0.754 Pr
0.739 0.333 0.667 Pr
0.000 0.245 0.000 Pr
0.500 0.246 0.246 Pr
0.000 0.000 0.245 Pr
0.500 0.754 0.000 Pr
0.739 0.667 0.333 Pr
0.000 0.000 0.608 Bi
0.000 0.608 0.000 Bi
0.000 0.392 0.392 Bi


PrGe2Bi (PBE, relaxed); SG = No. 123; total DFT energy (no corrections) = -4.835 eV per atom; density of states at the Fermi level = 1.8 states/eV/cell; distance to the lowest polymorph of the same formula = 0.00 kcal/mol of atoms; calculated formation energy = -362 meV/atom
1.0
-0.150 -3.001 3.127
-0.134 -3.465 -3.332
4.804 -0.212 0.027
Bi Ge Pr
1 2 1
Direct
0.500 0.000 0.000 Bi
0.000 0.000 0.500 Ge
0.000 0.500 0.000 Ge
0.500 0.500 0.500 Pr


Pr3GeBi (PBE, relaxed); SG = No. 15; total DFT energy (no corrections) = -5.236 eV per atom; density of states at the Fermi level = 14.8 states/eV/cell; calculated formation energy = -669 meV/atom
1.0
-4.706 -6.579 2.858
4.808 -5.509 -4.775
5.938 -1.544 6.214
Pr Bi Ge
12 4 4
Direct
0.912 0.018 0.188 Pr
0.412 0.188 0.018 Pr
0.088 0.982 0.812 Pr
0.413 0.479 0.310 Pr
0.913 0.310 0.479 Pr
0.695 0.934 0.566 Pr
0.805 0.434 0.066 Pr
0.305 0.066 0.434 Pr
0.587 0.521 0.690 Pr
0.588 0.812 0.982 Pr
0.195 0.566 0.934 Pr
0.087 0.690 0.521 Pr
0.750 0.663 0.337 Bi
0.750 0.166 0.834 Bi
0.250 0.337 0.663 Bi
0.250 0.834 0.166 Bi
0.124 0.303 0.193 Ge
0.624 0.193 0.303 Ge
0.376 0.807 0.697 Ge
0.876 0.697 0.807 Ge


Pr7Ge2Bi2 (PBE, relaxed); SG = No. 65; total DFT energy (no corrections) = -5.058 eV per atom; density of states at the Fermi level = 12.3 states/eV/cell; calculated formation energy = -472 meV/atom
1.0
-5.817 3.989 2.307
-0.735 -4.230 5.460
5.609 3.447 3.425
Bi Pr Ge
2 7 2
Direct
0.191 0.500 0.191 Bi
0.809 0.500 0.809 Bi
0.500 0.737 0.000 Pr
0.500 0.241 0.500 Pr
0.000 0.737 0.500 Pr
0.500 0.263 0.000 Pr
0.000 0.000 0.000 Pr
0.000 0.263 0.500 Pr
0.500 0.759 0.500 Pr
0.730 0.000 0.270 Ge
0.270 0.000 0.730 Ge


Pr2GeBi (PBE, relaxed); SG = No. 166; total DFT energy (no corrections) = -5.314 eV per atom; density of states at the Fermi level = 2.8 states/eV/cell; distance to the lowest polymorph of the same formula = 0.44 kcal/mol of atoms; calculated formation energy = -800 meV/atom
1.0
4.420 0.000 0.000
2.210 3.828 0.000
2.210 1.276 7.530
Ge Bi Pr
1 1 2
Direct
0.000 0.000 0.000 Ge
0.500 0.500 0.500 Bi
0.257 0.257 0.229 Pr
0.743 0.743 0.771 Pr


Pr4GeBi3 (PBE, relaxed); SG = No. 13; total DFT energy (no corrections) = -5.292 eV per atom; density of states at the Fermi level = 8.7 states/eV/cell; calculated formation energy = -870 meV/atom
1.0
7.880 0.055 0.000
-2.710 7.465 0.000
0.000 0.000 9.134
Pr Ge Bi
8 2 6
Direct
0.009 0.758 0.366 Pr
0.999 0.765 0.883 Pr
0.509 0.758 0.634 Pr
0.501 0.235 0.883 Pr
0.991 0.242 0.634 Pr
0.491 0.242 0.366 Pr
0.001 0.235 0.117 Pr
0.499 0.765 0.117 Pr
0.250 0.000 0.124 Ge
0.750 0.000 0.876 Ge
0.250 0.500 0.376 Bi
0.750 0.500 0.624 Bi
0.750 0.000 0.375 Bi
0.750 0.500 0.125 Bi
0.250 0.000 0.625 Bi
0.250 0.500 0.875 Bi


Pr6GeBi2 (PBE, relaxed); SG = No. 189; total DFT energy (no corrections) = -5.205 eV per atom; density of states at the Fermi level = 12.9 states/eV/cell; calculated formation energy = -644 meV/atom
1.0
4.409 0.000 0.000
0.000 8.712 0.000
0.000 -4.356 7.545
Pr Ge Bi
6 1 2
Direct
0.500 0.000 0.592 Pr
0.000 0.755 0.755 Pr
0.000 0.000 0.245 Pr
0.500 0.592 0.000 Pr
0.000 0.245 0.000 Pr
0.500 0.408 0.408 Pr
0.500 0.000 0.000 Ge
0.000 0.667 0.333 Bi
0.000 0.333 0.667 Bi


Pr2Ge3BiPt4 (PBE, relaxed); SG = No. 115; total DFT energy (no corrections) = -5.957 eV per atom; density of states at the Fermi level = 5.3 states/eV/cell; calculated formation energy = -811 meV/atom
1.0
4.369 0.000 0.000
0.000 4.369 0.000
0.000 0.000 11.003
Pt Bi Ge Pr
4 1 3 2
Direct
0.000 0.000 0.000 Pt
0.000 0.500 0.342 Pt
0.500 0.000 0.658 Pt
0.500 0.500 0.000 Pt
0.500 0.500 0.500 Bi
0.500 0.000 0.879 Ge
0.000 0.000 0.500 Ge
0.000 0.500 0.121 Ge
0.500 0.000 0.231 Pr
0.000 0.500 0.769 Pr


Pr2Ge3BiRh4 (PBE, relaxed); SG = No. 115; total DFT energy (no corrections) = -6.409 eV per atom; density of states at the Fermi level = 4.9 states/eV/cell; calculated formation energy = -739 meV/atom
1.0
4.314 0.000 0.000
0.000 4.314 0.000
0.000 0.000 10.676
Rh Pr Ge Bi
4 2 3 1
Direct
0.000 0.500 0.350 Rh
0.500 0.500 0.000 Rh
0.000 0.000 0.000 Rh
0.500 0.000 0.650 Rh
0.000 0.500 0.760 Pr
0.500 0.000 0.240 Pr
0.000 0.000 0.500 Ge
0.000 0.500 0.122 Ge
0.500 0.000 0.878 Ge
0.500 0.500 0.500 Bi


Pr6Ge2BiS3 (PBE, relaxed); SG = No. 12; uncorrected formation energy = -17.2 eV per formula unit; total DFT energy (no corrections) = -5.947 eV per atom; density of states at the Fermi level = 2.4 states/eV/cell
1.0
4.299 0.000 0.000
0.000 8.576 0.382
-2.150 -2.398 9.004
Pr S Ge Bi
6 3 2 1
Direct
0.002 0.269 0.004 Pr
0.668 0.585 0.335 Pr
0.326 0.908 0.653 Pr
0.674 0.092 0.347 Pr
0.998 0.731 0.996 Pr
0.332 0.415 0.665 Pr
0.835 0.166 0.669 S
0.165 0.834 0.331 S
0.500 0.500 0.000 S
0.833 0.665 0.666 Ge
0.167 0.335 0.334 Ge
0.500 0.000 0.000 Bi


Pr2Sc2GeBi2 (PBE, relaxed); SG = No. 139; total DFT energy (no corrections) = -5.617 eV per atom; density of states at the Fermi level = 6.3 states/eV/cell; calculated formation energy = -674 meV/atom
1.0
4.986 0.000 0.000
0.000 4.986 0.000
-2.493 -2.493 8.400
Sc Bi Pr Ge
2 2 2 1
Direct
0.000 0.500 0.000 Sc
0.500 0.000 0.000 Sc
0.630 0.630 0.260 Bi
0.370 0.370 0.740 Bi
0.172 0.172 0.344 Pr
0.828 0.828 0.656 Pr
0.000 0.000 0.000 Ge


Pr4GeBiSe2 (PBE, relaxed); SG = No. 10; uncorrected formation energy = -11.1 eV per formula unit; total DFT energy (no corrections) = -5.714 eV per atom; density of states at the Fermi level = 1.8 states/eV/cell
1.0
4.396 0.000 0.000
0.000 7.559 -0.129
0.000 2.683 7.187
Ge Pr Bi Se
1 4 1 2
Direct
0.000 0.500 0.500 Ge
0.500 0.746 0.263 Pr
0.000 0.246 0.266 Pr
0.500 0.254 0.737 Pr
0.000 0.754 0.734 Pr
0.500 0.500 0.000 Bi
0.500 0.000 0.500 Se
0.000 0.000 0.000 Se


Pr6Ge2BiTe3 (PBE, relaxed); SG = No. 12; uncorrected formation energy = -14.8 eV per formula unit; total DFT energy (no corrections) = -5.498 eV per atom; density of states at the Fermi level = 2.5 states/eV/cell
1.0
-4.297 -0.317 -1.209
0.631 -9.047 0.131
-0.595 2.407 9.764
Te Pr Bi Ge
3 6 1 2
Direct
0.837 0.166 0.674 Te
0.500 0.500 0.000 Te
0.163 0.834 0.326 Te
0.673 0.570 0.345 Pr
0.669 0.107 0.338 Pr
0.990 0.745 0.980 Pr
0.010 0.255 0.020 Pr
0.331 0.893 0.662 Pr
0.327 0.430 0.655 Pr
0.500 0.000 0.000 Bi
0.168 0.335 0.336 Ge
0.832 0.665 0.664 Ge


Pr6GeBi2Te3 (PBE, relaxed); SG = No. 12; uncorrected formation energy = -14.7 eV per formula unit; total DFT energy (no corrections) = -5.436 eV per atom; density of states at the Fermi level = 4.5 states/eV/cell
1.0
4.534 0.000 0.000
0.000 9.122 0.339
-2.267 -2.613 9.576
Bi Pr Ge Te
2 6 1 3
Direct
0.167 0.334 0.333 Bi
0.833 0.666 0.667 Bi
0.334 0.418 0.669 Pr
0.656 0.078 0.311 Pr
0.999 0.227 0.998 Pr
0.001 0.773 0.002 Pr
0.666 0.582 0.331 Pr
0.344 0.922 0.689 Pr
0.500 0.000 0.000 Ge
0.830 0.165 0.660 Te
0.500 0.500 0.000 Te
0.170 0.835 0.340 Te